MoP2HO: relaxed, PBE+U.

## Properties
The density of states at the Fermi level is 2.22 states/eV/f.u. For the polymorph energy (0 for the lowest one), the calculation gives 0.000 eV per atom. Its symmetry is No. 123.

a = 3.385 Å, b = 3.385 Å, c = 5.272 Å
α = 90.00°, β = 90.00°, γ = 90.00°
Fractional coordinates of all 5 atoms:
Mo 0.000 0.000 0.000
P 0.000 0.500 0.500
P 0.500 0.000 0.500
H 0.500 0.500 0.500
O 0.500 0.500 0.000